Compound: Al2Cr3
Source: the Alexandria database
Functional: PBE
Structure: relaxed

Values from the calculation:
Crystal system   trigonal
Energy above the most stable polymorph in this dataset   7.53 kJ/mol of atoms
Space-group type   R-3m, No. 166

Lattice parameters (Å, degrees): 10.4464 10.4464 10.4464 15.02 15.02 15.02
With the nearest neighbours (Å) after each atom.
Atoms (fractional coordinates):
Al  0.0978  0.0978  0.0978  6 Cr 2.65-2.71, 6 Al 2.73
Al  0.9022  0.9022  0.9022  6 Cr 2.65-2.71, 6 Al 2.73
Cr  0.3066  0.3066  0.3066  3 Cr 2.29
Cr  0.5000  0.5000  0.5000  6 Al 2.65, 6 Cr 2.73
Cr  0.6934  0.6934  0.6934  3 Cr 2.29

---

Compound: Al45Cr7
Source: the Alexandria database
Functional: PBE
Structure: relaxed

Values from the calculation:
Crystal system   monoclinic
Space-group type   C2/m, No. 12

Lattice parameters (Å, degrees): 10.9494 10.9494 10.9289 106.21 106.21 40.44
With the nearest neighbours (Å) after each atom.
Atoms (fractional coordinates):
Al  0.0000  0.0000  0.0000  4 Cr 2.56, 8 Al 2.57-2.70
Al  0.0191  0.3939  0.6349  10 Al 2.66-2.94, 1 Cr 2.66
Al  0.0222  0.0222  0.2564  9 Al 2.70-2.87, 2 Cr 2.78
Al  0.0287  0.6411  0.6463  1 Cr 2.69, 9 Al 2.72-2.94
Al  0.1139  0.7477  0.5097  10 Al 2.73-2.99, 1 Cr 2.81
Al  0.1151  0.1151  0.7294  2 Cr 2.67, 10 Al 2.79-2.88
Al  0.1250  0.4955  0.8812  10 Al 2.75-3.02, 2 Cr 2.79-2.91
Al  0.1261  0.1261  0.1338  3 Cr 2.51-2.62, 8 Al 2.57-2.81
Al  0.1321  0.5048  0.1451  2 Cr 2.52-2.58, 4 Al 2.74-2.80
Al  0.2079  0.2079  0.9853  8 Al 2.66-2.88, 3 Cr 2.75-2.88
Al  0.2523  0.8861  0.4903  10 Al 2.73-2.99, 1 Cr 2.81
Al  0.2578  0.6509  0.8782  10 Al 2.68-2.98, 2 Cr 2.77
Al  0.2753  0.2753  0.5085  1 Cr 2.59, 8 Al 2.66-2.84
Al  0.2758  0.6526  0.2947  2 Cr 2.47-2.57, 2 Al 2.73
Al  0.3474  0.7242  0.7053  2 Cr 2.47-2.57, 2 Al 2.73
Al  0.3491  0.7422  0.1218  10 Al 2.68-2.98, 2 Cr 2.77
Al  0.3589  0.9713  0.3537  1 Cr 2.69, 9 Al 2.72-2.94
Al  0.3715  0.3715  0.3879  2 Cr 2.47-2.56, 1 Al 2.68
Al  0.3939  0.0191  0.6349  10 Al 2.66-2.94, 1 Cr 2.66
Al  0.4098  0.4098  0.6575  10 Al 2.75-2.99, 1 Cr 2.88
Al  0.4198  0.4198  0.0601  2 Cr 2.48, 2 Al 2.74
Al  0.4952  0.8679  0.8549  2 Cr 2.52-2.58, 4 Al 2.74-2.80
Al  0.4955  0.1250  0.8812  10 Al 2.75-3.02, 2 Cr 2.79-2.91
Al  0.5045  0.8750  0.1188  10 Al 2.75-3.02, 2 Cr 2.79-2.91
Al  0.5048  0.1321  0.1451  2 Cr 2.52-2.58, 4 Al 2.74-2.80
Al  0.5802  0.5802  0.9399  2 Cr 2.48, 2 Al 2.74
Al  0.5902  0.5902  0.3425  10 Al 2.75-2.99, 1 Cr 2.88
Al  0.6061  0.9809  0.3651  10 Al 2.66-2.94, 1 Cr 2.66
Al  0.6285  0.6285  0.6121  2 Cr 2.47-2.56, 1 Al 2.68
Al  0.6411  0.0287  0.6463  1 Cr 2.69, 9 Al 2.72-2.94
Al  0.6509  0.2578  0.8782  10 Al 2.68-2.98, 2 Cr 2.77
Al  0.6526  0.2758  0.2947  2 Cr 2.47-2.57, 2 Al 2.73
Al  0.7242  0.3474  0.7053  2 Cr 2.47-2.57, 2 Al 2.73
Al  0.7247  0.7247  0.4915  1 Cr 2.59, 8 Al 2.66-2.84
Al  0.7422  0.3491  0.1218  10 Al 2.68-2.98, 2 Cr 2.77
Al  0.7477  0.1139  0.5097  10 Al 2.73-2.99, 1 Cr 2.81
Al  0.7921  0.7921  0.0147  8 Al 2.66-2.88, 3 Cr 2.75-2.88
Al  0.8679  0.4952  0.8549  2 Cr 2.52-2.58, 4 Al 2.74-2.80
Al  0.8739  0.8739  0.8662  3 Cr 2.51-2.62, 8 Al 2.57-2.81
Al  0.8750  0.5045  0.1188  10 Al 2.75-3.02, 2 Cr 2.79-2.91
Al  0.8849  0.8849  0.2706  2 Cr 2.67, 10 Al 2.79-2.88
Al  0.8861  0.2523  0.4903  10 Al 2.73-2.99, 1 Cr 2.81
Al  0.9713  0.3589  0.3537  1 Cr 2.69, 9 Al 2.72-2.94
Al  0.9778  0.9778  0.7436  9 Al 2.70-2.87, 2 Cr 2.78
Al  0.9809  0.6061  0.3651  10 Al 2.66-2.94, 1 Cr 2.66
Cr  0.0893  0.7406  0.0823  7 Al 2.47-2.75, 1 Cr 2.64
Cr  0.2498  0.2498  0.2617  9 Al 2.47-2.69
Cr  0.2594  0.9107  0.9177  7 Al 2.47-2.75, 1 Cr 2.64
Cr  0.5000  0.5000  0.5000  10 Al 2.56-2.81
Cr  0.7406  0.0893  0.0823  7 Al 2.47-2.75, 1 Cr 2.64
Cr  0.7502  0.7502  0.7383  9 Al 2.47-2.69
Cr  0.9107  0.2594  0.9177  7 Al 2.47-2.75, 1 Cr 2.64

---

In eV/atom, the raw total energy values for the records above are, in order, -7.10 -4.66.